{
  "formula": "TeCl",
  "functional": "SCAN",
  "state": "single point on PBEsol structure",
  "cell": [[3.207, 0.000, -0.056], [0.000, 4.247, 0.000], [-1.513, 0.000, 7.203]],
  "species": ["Cl", "Cl", "Te", "Te"],
  "fractional_positions": [[0.329, 0.750, 0.160], [0.671, 0.250, 0.840], [0.928, 0.250, 0.359], [0.072, 0.750, 0.641]],
  "formation_energy_uncorrected_ev_per_atom": -0.182,
  "sg": "P2_1/m, No. 11",
  "total_magnetization_mub_per_fu": 0.00,
  "e_tot_ev_per_atom": -22.80
}

***

{
  "formula": "TeCl",
  "functional": "SCAN",
  "state": "single point on PBEsol structure",
  "cell": [[3.582, 0.000, 0.000], [0.000, 3.582, 0.000], [0.000, 0.000, 3.582]],
  "species": ["Cl", "Te"],
  "fractional_positions": [[0.000, 0.000, 0.000], [0.500, 0.500, 0.500]],
  "formation_energy_uncorrected_ev_per_atom": 0.386,
  "sg": "Pm-3m, No. 221",
  "total_magnetization_mub_per_fu": 0.00,
  "e_tot_ev_per_atom": -22.23
}